Run A
# PBE Tl2PBr, optimized geometry
data_Tl2PBr
_cell_length_a 4.315
_cell_length_b 4.315
_cell_length_c 7.434
_cell_angle_alpha 78.40
_cell_angle_beta 78.40
_cell_angle_gamma 60.81
_space_group_name_H-M_alt 'P 1'
_space_group_IT_number 1
_space_group_name_Hall 'P 1'
loop_
_atom_site_label
_atom_site_fract_x
_atom_site_fract_y
_atom_site_fract_z
P1 0.250 0.250 0.250
Tl1 0.537 0.537 0.443
Br1 0.750 0.750 0.750
Tl2 0.963 0.963 0.057
# calculated density: 7.34 g/cm3
# calculated volume: 29.38 A^3/atom



Run B
# PBE Tl2PBr, optimized geometry
data_Tl2PBr
_cell_length_a 4.466
_cell_length_b 5.370
_cell_length_c 5.372
_cell_angle_alpha 90.00
_cell_angle_beta 90.00
_cell_angle_gamma 90.00
_space_group_name_H-M_alt 'P 1'
_space_group_IT_number 1
_space_group_name_Hall 'P 1'
loop_
_atom_site_label
_atom_site_fract_x
_atom_site_fract_y
_atom_site_fract_z
Br1 0.499 0.000 0.000
P1 0.000 0.500 0.500
Tl1 0.924 0.500 0.000
Tl2 0.076 0.000 0.500
# calculated density: 6.70 g/cm3
# calculated volume: 32.21 A^3/atom



Run C
# PBE Tl2PBr, optimized geometry
data_Tl2PBr
_cell_length_a 5.533
_cell_length_b 5.535
_cell_length_c 3.512
_cell_angle_alpha 90.00
_cell_angle_beta 90.00
_cell_angle_gamma 90.00
_space_group_name_H-M_alt 'P 1'
_space_group_IT_number 1
_space_group_name_Hall 'P 1'
loop_
_atom_site_label
_atom_site_fract_x
_atom_site_fract_y
_atom_site_fract_z
Tl1 0.500 0.500 0.000
Tl2 0.000 0.000 0.000
P1 0.000 0.500 0.500
Br1 0.500 0.000 0.500
# calculated density: 8.02 g/cm3
# calculated volume: 26.89 A^3/atom



Run D
# PBE Tl2PBr, optimized geometry
data_Tl2PBr
_cell_length_a 8.494
_cell_length_b 8.494
_cell_length_c 8.493
_cell_angle_alpha 153.46
_cell_angle_beta 154.02
_cell_angle_gamma 37.48
_space_group_name_H-M_alt 'P 1'
_space_group_IT_number 1
_space_group_name_Hall 'P 1'
loop_
_atom_site_label
_atom_site_fract_x
_atom_site_fract_y
_atom_site_fract_z
Tl1 0.770 0.270 0.500
Br1 0.448 0.448 0.000
Tl2 0.054 0.054 0.000
P1 0.228 0.728 0.500
# calculated density: 7.20 g/cm3
# calculated volume: 29.94 A^3/atom



Relative to the most stable one, in kJ/mol of atoms, the structures come out at run A 0.0; run B 3.1; run C 13.7; run D 6.6.



Run A
# PBE Tl2PBr, optimized geometry
data_Tl2PBr
_cell_length_a 5.342
_cell_length_b 5.342
_cell_length_c 5.342
_cell_angle_alpha 60.00
_cell_angle_beta 60.00
_cell_angle_gamma 60.00
_space_group_name_H-M_alt 'P 1'
_space_group_IT_number 1
_space_group_name_Hall 'P 1'
loop_
_atom_site_label
_atom_site_fract_x
_atom_site_fract_y
_atom_site_fract_z
Br1 0.500 0.500 0.500
P1 0.250 0.250 0.250
Tl1 0.000 0.000 0.000
Tl2 0.750 0.750 0.750
# calculated density: 8.01 g/cm3
# calculated volume: 26.94 A^3/atom



Run B
# PBE Tl2PBr, optimized geometry
data_Tl2PBr
_cell_length_a 6.111
_cell_length_b 6.111
_cell_length_c 5.203
_cell_angle_alpha 89.98
_cell_angle_beta 89.98
_cell_angle_gamma 35.09
_space_group_name_H-M_alt 'P 1'
_space_group_IT_number 1
_space_group_name_Hall 'P 1'
loop_
_atom_site_label
_atom_site_fract_x
_atom_site_fract_y
_atom_site_fract_z
Br1 0.494 0.494 0.624
Tl1 0.995 0.995 0.125
Tl2 0.754 0.754 0.626
P1 0.258 0.258 0.125
# calculated density: 7.72 g/cm3
# calculated volume: 27.93 A^3/atom



Run C
# PBE Tl2PBr, optimized geometry
data_Tl2PBr
_cell_length_a 6.969
_cell_length_b 6.969
_cell_length_c 6.969
_cell_angle_alpha 143.49
_cell_angle_beta 143.49
_cell_angle_gamma 52.59
_space_group_name_H-M_alt 'P 1'
_space_group_IT_number 1
_space_group_name_Hall 'P 1'
loop_
_atom_site_label
_atom_site_fract_x
_atom_site_fract_y
_atom_site_fract_z
Tl1 0.000 0.000 0.000
Br1 0.500 0.500 0.000
P1 0.750 0.250 0.500
Tl2 0.250 0.750 0.500
# calculated density: 7.25 g/cm3
# calculated volume: 29.77 A^3/atom



Relative to the most stable one, in kJ/mol of atoms, the structures come out at run A 24.4; run B 0.0; run C 10.2.



Run A
# PBE Tl2PBr, optimized geometry
data_Tl2PBr
_cell_length_a 5.315
_cell_length_b 5.315
_cell_length_c 5.315
_cell_angle_alpha 60.00
_cell_angle_beta 60.00
_cell_angle_gamma 60.00
_space_group_name_H-M_alt 'P 1'
_space_group_IT_number 1
_space_group_name_Hall 'P 1'
loop_
_atom_site_label
_atom_site_fract_x
_atom_site_fract_y
_atom_site_fract_z
P1 0.000 0.000 0.000
Br1 0.500 0.500 0.500
Tl1 0.750 0.750 0.750
Tl2 0.250 0.250 0.250
# calculated density: 8.13 g/cm3
# calculated volume: 26.54 A^3/atom



Run B
# PBE Tl2PBr, optimized geometry
data_Tl2PBr
_cell_length_a 7.614
_cell_length_b 7.614
_cell_length_c 7.182
_cell_angle_alpha 57.99
_cell_angle_beta 57.99
_cell_angle_gamma 90.00
_space_group_name_H-M_alt 'P 1'
_space_group_IT_number 1
_space_group_name_Hall 'P 1'
loop_
_atom_site_label
_atom_site_fract_x
_atom_site_fract_y
_atom_site_fract_z
Tl1 0.375 0.424 0.750
Br1 0.000 0.000 0.000
Tl2 0.174 0.625 0.250
Br2 0.750 0.250 0.500
Tl3 0.875 0.826 0.750
P1 0.500 0.500 0.000
Tl4 0.576 0.125 0.250
P2 0.250 0.750 0.500
# calculated density: 6.26 g/cm3
# calculated volume: 34.45 A^3/atom



Relative to the most stable one, in kJ/mol of atoms, the structures come out at run A 7.0; run B 0.0.